{
  "formula": "Tl3SBr2",
  "functional": "PBE-GGA",
  "state": "relaxed",
  "magmom_total_mub_per_atom": 0.000,
  "raw_formation_energy_kj_per_mol_atoms": -52.7,
  "rho_g_cm3": 6.7,
  "lattice_angstrom": [[-4.2513, 2.4591, 4.2659], [3.5722, -4.8568, 6.3597], [5.6689, 5.1490, -2.2787]],
  "species": ["Br", "Br", "Br", "Br", "Tl", "Tl", "Tl", "Tl", "Tl", "Tl", "S", "S"],
  "frac_coords": [[0.3218, 0.4111, 0.6444], [0.6782, 0.5889, 0.3556], [0.6774, 0.0889, 0.3556], [0.3226, 0.9111, 0.6444], [0.8610, 0.4305, 0.7225], [0.8615, 0.9305, 0.7225], [0.1385, 0.0695, 0.2775], [0.5003, 0.7500, 0.0000], [0.4997, 0.2500, 0.0000], [0.1390, 0.5695, 0.2775], [0.9994, 0.7500, 0.0000], [0.0006, 0.2500, 0.0000]]
}